# 1
Compound: HgGe3F
Source: Alexandria via LeMat-Bulk
Functional: PBE
Structure: optimized geometry

Results
The raw formation energy comes out at 0.027 eV per atom. As for the calculated total energy: -3.178 eV/atom.

extended XYZ file:
```
5
Lattice="4.670 0.000 0.000 0.000 4.670 0.000 0.000 0.000 4.670" Properties=species:S:1:pos:R:3 pbc="T T T"
Ge 2.335 0.000 0.000
F 0.000 0.000 0.000
Ge 0.000 0.000 2.335
Hg 2.335 2.335 2.335
Ge 0.000 2.335 0.000
```

***

# 2
Compound: TiMn2GaAu
Source: Alexandria via LeMat-Bulk
Functional: PBE
Structure: optimized geometry

Results
As for the calculated total energy: -5.420 eV/atom.

extended XYZ file:
```
5
Lattice="-2.392 0.025 3.591 -3.453 -2.005 -2.285 1.553 -3.884 1.062" Properties=species:S:1:pos:R:3 pbc="T T T"
Ti -1.726 -1.002 -1.143
Au -2.146 -2.932 1.184
Mn 0.776 -1.942 0.531
Mn -1.196 0.013 1.796
Ga 0.000 0.000 0.000
```